Below is a relaxed structure of MnZnO2, with properties calculated at the GGA+U level.

Values from the calculation:
As for the space group: C2/m. The density of states at the Fermi level is 0.000 states/eV/f.u. The value obtained for the uncorrected energy is -6.14 eV/atom. For the volume, the calculation gives 101.1 Å³ per cell.

abc: 5.776 5.776 6.242
angles: 122.17 122.17 35.85
Element x y z (fractional)
1 Mn 0.124 0.124 0.290
2 Mn 0.876 0.876 0.710
3 Zn 0.374 0.374 0.210
4 Zn 0.626 0.626 0.790
5 O 0.123 0.123 0.947
6 O 0.372 0.372 0.527
7 O 0.628 0.628 0.473
8 O 0.877 0.877 0.053